CePm2ThBi5 | PBE | optimized geometry

Summary:
N(E_F), states/eV per cell: 10.704
Total magnetization, μB per formula unit: 0.80
DFT formation energy, eV per atom: 0.07
Crystal system: tetragonal
SG: P4/mmm, No. 123
V, Å³/atom: 44.0
Uncorrected energy, eV/atom: -4.6229

The structure in POSCAR format:
```
CePm2ThBi5
1.0
5.728 0.000 0.000
0.000 5.728 0.000
0.000 0.000 12.081
Ce Pm Th Bi
1 2 1 5
Cartesian
0.000 0.000 0.000
2.864 2.864 3.323
2.864 2.864 8.759
0.000 0.000 6.041
0.000 0.000 2.955
0.000 0.000 9.126
0.000 2.864 6.041
2.864 0.000 6.041
2.864 2.864 0.000
```